No. 1
Entry from the Alexandria database: crystalline Ac2BeGaPd6 at its relaxed geometry (GGA-PBE).

Unit cell a=6.041 b=7.234 c=6.033 alpha=65.86 beta=59.76 gamma=90.21
Sites, in units of the cell vectors:
Pd1 0.740 0.688 0.051
Pd2 0.260 0.305 0.477
Pd3 0.784 0.306 0.954
Pd4 0.216 0.694 0.046
Pd5 0.260 0.312 0.949
Pd6 0.740 0.695 0.523
Ac1 0.268 0.801 0.466
Ac2 0.732 0.199 0.534
Ga1 0.000 0.000 0.000
Be1 0.500 0.500 0.000

The uncorrected energy comes out at -53.314 eV/cell. As for the energy of formation: -0.719 eV/atom. The density of states at the Fermi level is 3.7 states/eV/f.u. As for the symmetry: No. 2.

***

No. 2
Entry from the Alexandria database: crystalline Ac3BeGa2Pd6 at its relaxed geometry (GGA-PBE).

Unit cell a=6.011 b=6.011 c=8.370 alpha=90.00 beta=90.00 gamma=120.00
Sites, in units of the cell vectors:
Ga1 0.333 0.667 0.096
Ga2 0.667 0.333 0.904
Pd1 0.828 0.172 0.658
Pd2 0.828 0.655 0.658
Pd3 0.655 0.828 0.342
Pd4 0.345 0.172 0.658
Pd5 0.172 0.345 0.342
Pd6 0.172 0.828 0.342
Ac1 0.333 0.667 0.698
Ac2 0.000 0.000 0.000
Ac3 0.667 0.333 0.302
Be1 0.000 0.000 0.500

The uncorrected energy comes out at -61.729 eV/cell. As for the energy of formation: -0.706 eV/atom. The density of states at the Fermi level is 6.1 states/eV/f.u. As for the symmetry: No. 164.

***

No. 3
Entry from the Alexandria database: crystalline AcBeGaPt3 at its relaxed geometry (GGA-PBE).

Unit cell a=5.813 b=6.455 c=6.965 alpha=117.61 beta=90.00 gamma=90.00
Sites, in units of the cell vectors:
Ga1 0.250 0.382 0.765
Ga2 0.750 0.618 0.235
Pt1 0.500 0.265 0.000
Pt2 0.000 0.735 0.000
Pt3 0.250 0.183 0.366
Pt4 0.000 0.265 0.000
Pt5 0.500 0.735 0.000
Pt6 0.750 0.817 0.634
Ac1 0.750 0.267 0.535
Ac2 0.250 0.733 0.465
Be1 0.250 0.999 0.997
Be2 0.750 0.001 0.003

The uncorrected energy comes out at -67.707 eV/cell. As for the energy of formation: -0.812 eV/atom. The density of states at the Fermi level is 2.7 states/eV/f.u. As for the symmetry: No. 63.